## Li2VFeP2H2O10 (GGA+U)

Data for a relaxed structure of Li2VFeP2H2O10.

a = 6.930 Å, b = 7.494 Å, c = 7.803 Å
α = 117.04°, β = 92.20°, γ = 90.59°
Last column: magnetic moment on the atom in μB.
Positions (direct):
H1 0.041 0.323 0.982  0.01
Li1 0.343 0.915 0.735  0.00
Li2 0.159 0.584 0.767  0.00
O1 0.230 0.402 0.471  0.08
O2 0.445 0.670 0.786  0.06
O3 0.274 0.096 0.025  0.00
O4 0.054 0.827 0.715  0.00
Li3 0.843 0.412 0.237  0.00
O5 0.773 0.595 0.521  0.08
O6 0.228 0.045 0.427  0.02
O7 0.271 0.454 0.073  0.02
P1 0.905 0.773 0.541  0.01
O8 0.554 0.333 0.212  0.06
V1 0.751 0.251 0.750  1.92
H2 0.535 0.815 0.461  0.00
O9 0.920 0.243 0.965  -0.02
O10 0.413 0.743 0.459  0.08
Fe1 0.249 0.749 0.250  -1.07
O11 0.722 0.549 0.930  -0.01
O12 0.723 0.906 0.982  0.00
P2 0.593 0.727 0.960  0.01
O13 0.008 0.688 0.347  0.02
Fe2 0.500 0.501 0.498  4.39
H3 0.461 0.181 0.520  0.01
O14 0.779 0.952 0.571  0.00
V2 0.000 0.999 0.003  1.91
H4 0.964 0.680 0.037  0.00
O15 0.583 0.258 0.533  0.06
Li4 0.654 0.089 0.261  0.00
P3 0.401 0.276 0.042  0.00
P4 0.101 0.225 0.457  0.01
O16 0.499 0.190 0.847  0.01
O17 0.085 0.755 0.043  0.01
O18 0.947 0.169 0.287  0.00
O19 0.002 0.313 0.651  0.01
O20 0.490 0.810 0.154  0.02

## Properties
E, eV/atom: -6.62
Space-group type: P1, No. 1
Total moment, μB per atom: 0.22